Crystalline TaCrPtO6 at its relaxed geometry, computed with GGA+U.

Properties
Total magnetization, μB per atom: 0.332
Uncorrected energy, eV/atom: -7.9213

a b c (Å): 4.6823 4.6823 9.3084
angles (deg): 90.00 90.00 90.00
Space group P4_2nm (No. 102)
One atom of each set of equivalent atoms:
Ta1 0.0000 0.0000 0.0000 (multiplicity 2)
Cr1 0.0000 0.0000 0.6688 (multiplicity 2)
Pt1 0.0000 0.0000 0.3351 (multiplicity 2)
O1 0.1941 0.1941 0.5040 (multiplicity 4)
O2 0.1953 0.1953 0.1637 (multiplicity 4)
O3 0.1954 0.1954 0.8396 (multiplicity 4)